Material: LaBiAs3
Method: DFT, PBE
State: relaxed

```
data_LaBiAs3
_chemical_formula_sum 'La1 Bi1 As3'
_cell_length_a 5.611
_cell_length_b 5.611
_cell_length_c 5.611
_cell_angle_alpha 90.00
_cell_angle_beta 90.00
_cell_angle_gamma 90.00
_symmetry_space_group_name_H-M 'P m -3 m'
_symmetry_Int_Tables_number 221
_symmetry_space_group_name_Hall '-P 4 2 3'
loop_
_atom_site_label
_atom_site_fract_x
_atom_site_fract_y
_atom_site_fract_z
La1 0.000 0.000 0.000
Bi1 0.500 0.500 0.500
As1 0.000 0.000 0.500
```

The density of states at the Fermi level comes out at 6.9 states/eV per cell. The excess energy over the best structure of this formula in the dataset comes out at 0.363 eV/atom. The calculation puts the formation enthalpy at 0 K at 0.59 eV per atom.


Material: ZnHPt3
Method: DFT, PBE
State: relaxed

```
data_ZnHPt3
_chemical_formula_sum 'Zn1 H1 Pt3'
_cell_length_a 4.649
_cell_length_b 4.649
_cell_length_c 4.649
_cell_angle_alpha 90.00
_cell_angle_beta 90.00
_cell_angle_gamma 90.00
_symmetry_space_group_name_H-M 'P m -3 m'
_symmetry_Int_Tables_number 221
_symmetry_space_group_name_Hall '-P 4 2 3'
loop_
_atom_site_label
_atom_site_fract_x
_atom_site_fract_y
_atom_site_fract_z
Zn1 0.000 0.000 0.000
H1 0.500 0.500 0.500
Pt1 0.000 0.000 0.500
```

The density of states at the Fermi level comes out at 4.9 states/eV per cell. The excess energy over the best structure of this formula in the dataset comes out at 1.634 eV/atom.


Material: MnMoSe2
Method: DFT, PBE
State: relaxed

```
data_MnMoSe2
_chemical_formula_sum 'Mn2 Mo2 Se4'
_cell_length_a 3.332
_cell_length_b 3.421
_cell_length_c 12.217
_cell_angle_alpha 90.00
_cell_angle_beta 90.00
_cell_angle_gamma 90.00
_symmetry_space_group_name_H-M 'I m m 2'
_symmetry_Int_Tables_number 44
loop_
_symmetry_equiv_pos_as_xyz
'x,y,z'
'-x,-y,z'
'-x,y,z'
'x,-y,z'
'x+1/2,y+1/2,z+1/2'
'-x+1/2,-y+1/2,z+1/2'
'-x+1/2,y+1/2,z+1/2'
'x+1/2,-y+1/2,z+1/2'
loop_
_atom_site_label
_atom_site_fract_x
_atom_site_fract_y
_atom_site_fract_z
Mn1 0.000 0.000 0.000
Mo1 0.000 0.500 0.751
Se1 0.000 0.000 0.416
Se2 0.000 0.500 0.165
```

The density of states at the Fermi level comes out at 4.7 states/eV per cell. The excess energy over the best structure of this formula in the dataset comes out at 0.194 eV/atom. The formation energy from raw total energies comes out at -0.11 eV/atom.


Material: CaIn4Ir2Pd
Method: DFT, PBE
State: relaxed

```
data_CaIn4Ir2Pd
_chemical_formula_sum 'Ca3 In12 Ir6 Pd3'
_cell_length_a 4.7459
_cell_length_b 4.7459
_cell_length_c 23.5162
_cell_angle_alpha 90.00
_cell_angle_beta 90.00
_cell_angle_gamma 120.00
_symmetry_space_group_name_H-M 'R -3 m'
_symmetry_Int_Tables_number 166
_symmetry_space_group_name_Hall '-R 3 2"'
loop_
_atom_site_label
_atom_site_fract_x
_atom_site_fract_y
_atom_site_fract_z
Ca1 0.0000 0.0000 0.0000
In1 0.0000 0.0000 0.1326
In2 0.0000 0.0000 0.3833
Ir1 0.0000 0.0000 0.2558
Pd1 0.0000 0.0000 0.5000
```

The density of states at the Fermi level comes out at 10.9 states/eV per cell. The calculation puts the formation enthalpy at 0 K at -0.26 eV per atom.


Material: BRhAuN2
Method: DFT, PBE
State: relaxed

```
data_BRhAuN2
_chemical_formula_sum 'B1 Rh1 Au1 N2'
_cell_length_a 3.583
_cell_length_b 3.583
_cell_length_c 4.404
_cell_angle_alpha 90.00
_cell_angle_beta 90.00
_cell_angle_gamma 90.00
_symmetry_space_group_name_H-M 'P 4/m m m'
_symmetry_Int_Tables_number 123
_symmetry_space_group_name_Hall '-P 4 2'
loop_
_atom_site_label
_atom_site_fract_x
_atom_site_fract_y
_atom_site_fract_z
B1 0.000 0.000 0.000
Rh1 0.500 0.500 0.500
Au1 0.000 0.000 0.500
N1 0.000 0.500 0.000
```

The density of states at the Fermi level comes out at 3.8 states/eV per cell. The formation energy from raw total energies comes out at 1.67 eV/atom.


Material: BaTa2Cr
Method: DFT, PBE
State: relaxed

```
data_BaTa2Cr
_chemical_formula_sum 'Ba2 Ta4 Cr2'
_cell_length_a 4.130
_cell_length_b 4.130
_cell_length_c 10.315
_cell_angle_alpha 90.00
_cell_angle_beta 90.00
_cell_angle_gamma 90.00
_symmetry_space_group_name_H-M 'I 4/m m m'
_symmetry_Int_Tables_number 139
_symmetry_space_group_name_Hall '-I 4 2'
loop_
_atom_site_label
_atom_site_fract_x
_atom_site_fract_y
_atom_site_fract_z
Ba1 0.000 0.000 0.000
Ta1 0.000 0.500 0.250
Cr1 0.000 0.000 0.500
```

The density of states at the Fermi level comes out at 6.8 states/eV per cell. The excess energy over the best structure of this formula in the dataset comes out at 0.644 eV/atom. The calculation puts the formation enthalpy at 0 K at 1.28 eV per atom.


| no. | spin magnetization (μB per atom) |
| --- | --- |
| 1 | 0.000 |
| 2 | 0.187 |
| 3 | 0.958 |
| 4 | 0.000 |
| 5 | 0.000 |
| 6 | 0.708 |